No. 1
Material: Y2PuRh4
Method: DFT, PBE
State: relaxed

Structure (extended XYZ):
```
7
Lattice="4.226 0.000 0.000 2.109 4.559 0.000 2.099 -0.216 7.396" Properties=species:S:1:pos:R:3 pbc="T T T"
Y 2.111 1.533 2.150
Y 6.323 2.810 5.246
Pu 0.000 0.000 0.000
Rh 2.104 0.100 4.630
Rh 4.212 1.225 6.532
Rh 4.222 3.118 0.864
Rh 6.330 4.244 2.766
```

Values from the calculation:
- DFT total energy: -8.591 eV/atom
- Formation energy from the elements: -0.4957 eV/atom

No. 2
Material: Li2AsPd
Method: DFT, PBE
State: relaxed

Structure (extended XYZ):
```
4
Lattice="3.824 0.000 0.000 0.000 3.824 0.000 0.000 0.000 3.945" Properties=species:S:1:pos:R:3 pbc="T T T"
Li 0.000 1.912 0.000
Li 1.912 0.000 0.000
As 0.000 0.000 1.972
Pd 1.912 1.912 1.972
```

Values from the calculation:
- DFT total energy: -3.975 eV/atom
- Formation energy from the elements: -0.5574 eV/atom

No. 3
Material: TlTePd
Method: DFT, PBE
State: relaxed

Structure (extended XYZ):
```
12
Lattice="4.334 0.000 0.000 0.000 5.394 0.000 0.000 0.000 13.287" Properties=species:S:1:pos:R:3 pbc="T T T"
Tl 1.086 1.102 2.951
Tl 1.082 4.292 9.594
Tl 3.253 1.595 10.336
Tl 3.249 3.799 3.693
Te 1.080 0.048 6.172
Te 1.087 5.345 12.815
Te 3.247 2.648 7.115
Te 3.254 2.745 0.472
Pd 1.080 2.788 5.395
Pd 1.087 2.606 12.039
Pd 3.247 5.303 7.892
Pd 3.254 0.091 1.248
```

Values from the calculation:
- Formation energy without anion corrections: -213 meV/atom
- DFT total energy: -3.780 eV/atom

No. 4
Material: SrThCd17
Method: DFT, PBE
State: relaxed

Structure (extended XYZ):
```
19
Lattice="5.081 2.934 5.031 -5.081 2.934 5.031 0.000 -5.868 5.031" Properties=species:S:1:pos:R:3 pbc="T T T"
Sr 0.000 0.000 0.000
Th 0.000 0.000 10.049
Cd -1.532 -2.622 5.059
Cd -3.037 -0.016 5.059
Cd -2.443 -1.410 7.908
Cd 0.000 0.000 3.654
Cd 0.000 -3.122 7.516
Cd -2.703 1.561 7.516
Cd 1.532 -2.622 5.059
Cd -1.505 2.638 5.059
Cd 0.000 0.000 6.644
Cd -2.218 -1.281 12.352
Cd 3.037 -0.016 5.059
Cd 1.505 2.638 5.059
Cd 2.443 -1.410 7.908
Cd 0.000 2.821 7.908
Cd 2.703 1.561 7.516
Cd 2.218 -1.281 12.352
Cd 0.000 2.561 12.352
```

Values from the calculation:
- DFT total energy: -1.420 eV/atom
- Formation energy from the elements: -0.1225 eV/atom

No. 5
Material: InGaS2
Method: DFT, PBE
State: relaxed

Structure (extended XYZ):
```
4
Lattice="0.000 3.384 3.384 3.384 0.000 3.384 3.384 3.384 0.000" Properties=species:S:1:pos:R:3 pbc="T T T"
In 0.000 0.000 0.000
Ga 3.384 3.384 3.384
S 1.692 1.692 1.692
S 5.076 5.076 5.076
```

Values from the calculation:
- Formation energy without anion corrections: -78 meV/atom
- DFT total energy: -3.583 eV/atom

No. 6
Material: ReHgOs
Method: DFT, PBE
State: relaxed

Structure (extended XYZ):
```
3
Lattice="-1.445 1.445 6.088 1.445 -1.445 6.088 1.445 1.445 -6.088" Properties=species:S:1:pos:R:3 pbc="T T T"
Re 0.000 0.000 0.000
Hg 0.000 0.000 8.346
Os 0.000 0.000 4.517
```

Values from the calculation:
- DFT total energy: -7.554 eV/atom
- Excess energy over the best structure of this formula in the dataset: 0.0 meV per atom
- Formation energy from the elements: 0.4397 eV/atom

No. 7
Material: Tb2Nd2ErSc2
Method: DFT, PBE
State: relaxed

Structure (extended XYZ):
```
7
Lattice="5.699 -1.721 0.000 5.699 1.721 0.000 -3.812 0.000 11.008" Properties=species:S:1:pos:R:3 pbc="T T T"
Tb -0.485 0.000 2.918
Tb 8.071 0.000 8.090
Nd -0.305 0.000 6.492
Nd 7.891 0.000 4.516
Er 5.699 0.000 0.000
Sc 2.598 0.000 1.420
Sc 4.988 0.000 9.588
```

Values from the calculation:
- DFT total energy: -5.037 eV/atom
- Formation energy from the elements: 0.1086 eV/atom

No. 8
Material: Cs2BaLiI6
Method: DFT, PBE
State: relaxed

Structure (extended XYZ):
```
10
Lattice="0.000 6.318 6.318 6.318 0.000 6.318 6.318 6.318 0.000" Properties=species:S:1:pos:R:3 pbc="T T T"
Cs 3.159 3.159 3.159
Cs 9.478 9.478 9.478
Ba 0.000 0.000 0.000
Li 6.318 6.318 6.318
I 6.318 6.318 3.384
I 6.318 3.384 6.318
I 9.253 6.318 6.318
I 3.384 6.318 6.318
I 6.318 9.253 6.318
I 6.318 6.318 9.253
```

Values from the calculation:
- Formation energy without anion corrections: -1289 meV/atom
- DFT total energy: -2.773 eV/atom

Among the records above, which one has the lowest DFT total energy?
Y2PuRh4

Please write out number 6 again, unchanged.
Material: ReHgOs
Method: DFT, PBE
State: relaxed

Structure (extended XYZ):
```
3
Lattice="-1.445 1.445 6.088 1.445 -1.445 6.088 1.445 1.445 -6.088" Properties=species:S:1:pos:R:3 pbc="T T T"
Re 0.000 0.000 0.000
Hg 0.000 0.000 8.346
Os 0.000 0.000 4.517
```

Values from the calculation:
- DFT total energy: -7.554 eV/atom
- Excess energy over the best structure of this formula in the dataset: 0.0 meV per atom
- Formation energy from the elements: 0.4397 eV/atom

Which of these has the highest DFT total energy?
SrThCd17